No. 1
First-principles (PBE) data for a geometry-optimized GaSiNO2 structure, as listed in the Alexandria database.

```
GaSiNO2
1.0
-2.464 -2.852 0.363
2.762 -2.481 -0.743
0.834 -0.229 3.863
Ga Si O N
1 1 2 1
Cartesian
0.000 0.000 0.000
0.566 -2.781 1.741
-1.232 -1.426 0.181
1.381 -1.240 -0.372
0.417 -0.114 1.931
```

Crystal system: tetragonal
ΔE_f (raw), eV/atom: 0.25



No. 2
First-principles (PBE) data for a geometry-optimized Pm6HgBi2 structure, as listed in the Alexandria database.

```
Pm6HgBi2
1.0
4.247 0.000 0.000
0.000 8.787 0.000
0.000 -4.394 7.609
Pm Bi Hg
6 2 1
Cartesian
2.123 1.777 3.078
0.000 3.250 5.633
0.000 2.288 0.000
2.123 5.230 0.000
0.000 7.643 1.976
2.123 6.171 4.531
0.000 4.393 2.539
0.000 0.000 5.070
2.123 0.003 0.000
```

Crystal system: orthorhombic
ΔH_f (0 K), kJ per mole of atoms: -49.5



No. 3
First-principles (PBE) data for a geometry-optimized PaTlCdBr6 structure, as listed in the Alexandria database.

```
PaTlCdBr6
1.0
-1.785 7.953 -0.765
-4.849 -4.875 4.443
7.716 2.842 11.540
Br Pa Tl Cd
12 2 2 2
Cartesian
-2.271 6.230 2.388
0.653 3.389 9.831
4.112 3.222 11.453
3.353 -0.311 12.830
-1.811 5.593 6.130
0.428 2.530 5.387
-0.258 -0.072 11.293
-3.030 2.698 3.765
1.340 5.992 3.925
0.080 3.279 1.542
2.893 0.326 9.088
1.002 2.640 13.675
-0.878 4.387 3.856
1.959 1.533 11.362
2.980 5.808 9.626
-1.899 0.112 5.592
3.858 1.421 5.770
0.000 0.000 0.000
```

Crystal system: trigonal
ΔE_f (raw), eV/atom: -1.11



No. 4
First-principles (PBE) data for a geometry-optimized SmY3Ir structure, as listed in the Alexandria database.

```
SmY3Ir
1.0
-3.067 -2.752 -4.679
5.139 -3.948 -1.046
-2.926 -5.113 4.924
Y Sm Ir
6 2 2
Cartesian
1.797 -6.871 -0.678
0.330 -9.433 1.790
-3.090 -9.352 -0.171
-0.179 -3.493 -1.329
-1.630 -6.801 -2.627
-4.764 -6.204 -0.884
-1.685 -6.054 1.103
-3.303 -3.684 -3.384
0.902 -6.747 1.919
0.803 -5.544 -2.877
```

Crystal system: orthorhombic
Energy relative to the lowest polymorph listed for this composition, eV/f.u.: 0.000
ΔH_f (0 K), kJ per mole of atoms: -31.7



No. 5
First-principles (PBE) data for a geometry-optimized TcSn2PtO structure, as listed in the Alexandria database.

```
TcSn2PtO
1.0
4.884 0.000 0.000
0.000 3.815 0.000
0.000 0.000 4.884
Sn O Tc Pt
2 1 1 1
Cartesian
2.442 0.000 0.000
0.000 0.000 2.442
0.000 0.000 0.000
0.000 1.908 0.000
2.442 1.908 2.442
```

Crystal system: tetragonal
ΔE_f (raw), eV/atom: -0.01



No. 6
First-principles (PBE) data for a geometry-optimized Li2TiPd8 structure, as listed in the Alexandria database.

```
Li2TiPd8
1.0
-1.915 1.013 -3.340
-3.267 -5.221 0.291
-2.677 4.281 5.206
Pd Li Ti
8 2 1
Cartesian
-2.706 -3.379 0.527
-1.596 0.354 1.023
-3.115 -0.960 -0.877
-2.596 2.618 2.282
-4.743 1.033 3.034
-6.263 -0.281 1.134
-5.263 -2.545 -0.126
-5.153 3.452 1.629
-4.108 1.269 0.368
-3.751 -1.197 1.788
-0.958 0.506 -1.670
```

Crystal system: monoclinic
ΔH_f (0 K), kJ per mole of atoms: -38.8



Number 1: V 11.35 A^3/atom. Number 2: V 31.55 A^3/atom. Number 3: V 45.69 A^3/atom. Number 4: V 31.42 A^3/atom. Number 5: V 18.20 A^3/atom. Number 6: V 14.93 A^3/atom.